(1)
The following is a DFT calculation (PBE) of PrY2Tl3 after structural relaxation.

Magnetization   0.00 μB/cell
E_tot   -4.52 eV per atom
ΔH_f (0 K)   -0.3896 eV per atom

```
data_PrY2Tl3
_chemical_formula_sum 'Pr1 Y2 Tl3'
_cell_length_a 3.8025
_cell_length_b 3.8025
_cell_length_c 11.7841
_cell_angle_alpha 90.00
_cell_angle_beta 90.00
_cell_angle_gamma 90.00
_symmetry_space_group_name_H-M 'P 1'
_symmetry_Int_Tables_number 1
_symmetry_space_group_name_Hall 'P 1'
loop_
_atom_site_label
_atom_site_fract_x
_atom_site_fract_y
_atom_site_fract_z
Pr1 0.5000 0.5000 0.5000
Y1 0.5000 0.5000 0.8386
Y2 0.5000 0.5000 0.1614
Tl1 0.0000 0.0000 0.0000
Tl2 0.0000 0.0000 0.6781
Tl3 0.0000 0.0000 0.3219
```

---

(2)
The following is a DFT calculation (PBE) of CaTlRh after structural relaxation.

Magnetization   0.00 μB/cell
E_tot   -3.59 eV per atom
ΔH_f (0 K)   0.3129 eV per atom

```
data_CaTlRh
_chemical_formula_sum 'Ca1 Tl1 Rh1'
_cell_length_a 4.8084
_cell_length_b 4.8084
_cell_length_c 4.8084
_cell_angle_alpha 60.00
_cell_angle_beta 60.00
_cell_angle_gamma 60.00
_symmetry_space_group_name_H-M 'P 1'
_symmetry_Int_Tables_number 1
_symmetry_space_group_name_Hall 'P 1'
loop_
_atom_site_label
_atom_site_fract_x
_atom_site_fract_y
_atom_site_fract_z
Tl1 0.5000 0.5000 0.5000
Rh1 0.0000 0.0000 0.0000
Ca1 0.7500 0.7500 0.7500
```

---

(3)
The following is a DFT calculation (PBE) of LiAgW after structural relaxation.

Magnetization   0.00 μB/cell
E_tot   -5.44 eV per atom
ΔH_f (0 K)   0.4632 eV per atom

```
data_LiAgW
_chemical_formula_sum 'Li1 Ag1 W1'
_cell_length_a 6.9636
_cell_length_b 6.9636
_cell_length_c 6.9636
_cell_angle_alpha 157.82
_cell_angle_beta 157.82
_cell_angle_gamma 31.57
_symmetry_space_group_name_H-M 'P 1'
_symmetry_Int_Tables_number 1
_symmetry_space_group_name_Hall 'P 1'
loop_
_atom_site_label
_atom_site_fract_x
_atom_site_fract_y
_atom_site_fract_z
Ag1 0.9958 0.9958 0.0000
Li1 0.3354 0.3354 0.0000
W1 0.6687 0.6687 0.0000
```

---

(4)
The following is a DFT calculation (PBE) of LaDy3Tm after structural relaxation.

Magnetization   0.00 μB/cell
E_tot   -4.30 eV per atom
ΔH_f (0 K)   0.3441 eV per atom

```
data_LaDy3Tm
_chemical_formula_sum 'La2 Dy6 Tm2'
_cell_length_a 3.6563
_cell_length_b 8.5323
_cell_length_c 11.6246
_cell_angle_alpha 90.00
_cell_angle_beta 90.00
_cell_angle_gamma 102.38
_symmetry_space_group_name_H-M 'P 1'
_symmetry_Int_Tables_number 1
_symmetry_space_group_name_Hall 'P 1'
loop_
_atom_site_label
_atom_site_fract_x
_atom_site_fract_y
_atom_site_fract_z
La1 0.3052 0.1095 0.2500
La2 0.6948 0.8905 0.7500
Dy1 0.8482 0.1961 0.9975
Dy2 0.1518 0.8039 0.0025
Dy3 0.8482 0.1961 0.5025
Dy4 0.1518 0.8039 0.4975
Dy5 0.6395 0.7789 0.2500
Dy6 0.3605 0.2211 0.7500
Tm1 0.9784 0.4557 0.2500
Tm2 0.0216 0.5443 0.7500
```

---

> Look up the ΔH_f (0 K) of the first one.

-0.3896 eV per atom

---

> What is the E_tot in the third record?

-5.44 eV per atom

---

> Which formula does entry 3 have?

LiAgW

---

> What is the ΔH_f (0 K) in the third record?

0.4632 eV per atom